First-principles (PBEsol) data for crystalline BeNbSeN2 at its relaxed geometry, as listed in Alexandria.

- E_form (uncorrected): 759 meV/atom

```
data_BeNbSeN2
_symmetry_space_group_name_H-M 'P 4/m m m'
_symmetry_Int_Tables_number 123
_symmetry_space_group_name_Hall '-P 4 2'
_cell_length_a 3.588
_cell_length_b 3.588
_cell_length_c 4.471
_cell_angle_alpha 90.00
_cell_angle_beta 90.00
_cell_angle_gamma 90.00
loop_
_atom_site_label
_atom_site_fract_x
_atom_site_fract_y
_atom_site_fract_z
_atom_site_occupancy
Be1 0.000 0.000 0.000 1
Nb1 0.500 0.500 0.500 1
Se1 0.000 0.000 0.500 1
N1 0.000 0.500 0.000 1
```